1.
# La3PRu meta-GGA SCAN PBEsol geometry
# Formation energy   -0.436 eV/atom
# Magnetization   0.000 μB per atom
# Space-group type   Pm-3m, No. 221
# Mass density   6.19 Mg/m³
data_La3PRu
_chemical_formula_sum 'La3 P1 Ru1'
_cell_length_a 5.281
_cell_length_b 5.281
_cell_length_c 5.281
_cell_angle_alpha 90.00
_cell_angle_beta 90.00
_cell_angle_gamma 90.00
_symmetry_space_group_name_H-M 'P 1'
_symmetry_Int_Tables_number 1
_symmetry_space_group_name_Hall 'P 1'
loop_
_atom_site_label
_atom_site_type_symbol
_atom_site_fract_x
_atom_site_fract_y
_atom_site_fract_z
Ru1 Ru 0.000 0.000 0.000
P1 P 0.500 0.500 0.500
La1 La 0.000 0.500 0.000
La2 La 0.000 0.000 0.500
La3 La 0.500 0.000 0.000

2.
# LaSc2PRu meta-GGA SCAN PBEsol geometry
# Formation energy   -0.119 eV/atom
# Magnetization   0.000 μB per atom
# Space-group type   P4/mmm, No. 123
# Mass density   4.92 Mg/m³
data_LaSc2PRu
_chemical_formula_sum 'La1 Sc2 P1 Ru1'
_cell_length_a 4.698
_cell_length_b 4.698
_cell_length_c 5.520
_cell_angle_alpha 90.00
_cell_angle_beta 90.00
_cell_angle_gamma 90.00
_symmetry_space_group_name_H-M 'P 1'
_symmetry_Int_Tables_number 1
_symmetry_space_group_name_Hall 'P 1'
loop_
_atom_site_label
_atom_site_type_symbol
_atom_site_fract_x
_atom_site_fract_y
_atom_site_fract_z
Sc1 Sc 0.000 0.500 0.000
Sc2 Sc 0.500 0.000 0.000
Ru1 Ru 0.500 0.500 0.500
P1 P 0.000 0.000 0.000
La1 La 0.000 0.000 0.500